Entry 1:
SrZn2SnI: optimized geometry, PBE.

Calculated values
D(E_F), states/eV/f.u.: 1.2
Energy relative to the elements, uncorrected, meV per atom: -297

a b c (Å): 5.194 5.194 6.726
angles (deg): 90.00 90.00 90.00
Space group P4/mmm (No. 123)
Inequivalent atoms, fractional coordinates:
1 Sr 0.000 0.000 0.000
2 Zn 0.000 0.500 0.500
3 Sn 0.000 0.000 0.500
4 I 0.500 0.500 0.000

Entry 2:
TaSn3I: optimized geometry, PBE.

Calculated values
D(E_F), states/eV/f.u.: 8.8
Polymorph energy (0 for the lowest one), eV per atom: 0.000
Energy relative to the elements, uncorrected, meV per atom: 314

a b c (Å): 5.482 5.482 5.482
angles (deg): 90.00 90.00 90.00
Space group Pm-3m (No. 221)
Inequivalent atoms, fractional coordinates:
1 Ta 0.000 0.000 0.000
2 Sn 0.000 0.000 0.500
3 I 0.500 0.500 0.500

Summary of E_tot in Ha/atom
-0.0828, -0.1752
(order as listed above)
Summary of calculated volume in Å³ per cell
181, 165
(order as listed above)